Compound: Cu2ReWF
Source: Alexandria
Functional: PBE+U
Structure: relaxed

Properties
Energy, eV/atom: -4.124

```
data_Cu2ReWF
_cell_length_a 4.809
_cell_length_b 4.809
_cell_length_c 4.853
_cell_angle_alpha 90.00
_cell_angle_beta 90.00
_cell_angle_gamma 90.00
_symmetry_space_group_name_H-M 'P 4/m m m'
_symmetry_Int_Tables_number 123
_symmetry_space_group_name_Hall '-P 4 2'
loop_
_atom_site_label
_atom_site_fract_x
_atom_site_fract_y
_atom_site_fract_z
Cu1 0.000 0.500 0.000
Re1 0.000 0.000 0.500
W1 0.000 0.000 0.000
F1 0.500 0.500 0.500
```